No. 1
V2AgRuO8 | PBE+U | relaxed

The calculation puts the electronic total energy at -6.789 eV per atom. The value obtained for the total moment is 2.9 μB/f.u.

Cell and atoms, written as POSCAR:
```
V2AgRuO8
1.0
5.629 0.000 0.000
-2.814 4.874 0.000
0.000 0.000 6.514
V Ag Ru O
2 1 1 8
Direct
0.333 0.667 0.264
0.667 0.333 0.736
0.000 0.000 0.500
0.000 0.000 0.000
0.158 0.839 0.180
0.161 0.318 0.180
0.318 0.158 0.820
0.333 0.667 0.516
0.667 0.333 0.484
0.682 0.842 0.180
0.839 0.682 0.820
0.842 0.161 0.820
```


No. 2
VAgRuO6 | PBE+U | relaxed

The calculation puts the electronic total energy at -6.489 eV per atom. The value obtained for the total moment is 1.8 μB/f.u.

Cell and atoms, written as POSCAR:
```
VAgRuO6
1.0
5.105 0.000 0.000
-2.552 4.421 0.000
0.000 0.000 9.607
V Ag Ru O
2 2 2 12
Direct
0.333 0.667 0.250
0.667 0.333 0.750
0.000 0.000 0.000
0.000 0.000 0.500
0.333 0.667 0.750
0.667 0.333 0.250
0.006 0.378 0.139
0.006 0.628 0.361
0.372 0.378 0.361
0.372 0.994 0.139
0.378 0.006 0.639
0.378 0.372 0.861
0.622 0.628 0.139
0.622 0.994 0.361
0.628 0.006 0.861
0.628 0.622 0.639
0.994 0.372 0.639
0.994 0.622 0.861
```